# Ho5CdCo2 (PBE-GGA, optimized geometry)
data_Ho5CdCo2
_chemical_formula_sum 'Ho20 Cd4 Co8'
_space_group_name_H-M_alt 'I 4/m c m'
_space_group_IT_number 140
_space_group_name_Hall '-I 4 2c'
_cell_length_a 7.599
_cell_length_b 7.599
_cell_length_c 13.247
_cell_angle_alpha 90.00
_cell_angle_beta 90.00
_cell_angle_gamma 90.00
loop_
_atom_site_label
_atom_site_type_symbol
_atom_site_fract_x
_atom_site_fract_y
_atom_site_fract_z
Ho1 Ho 0.000 0.000 0.000
Ho2 Ho 0.160 0.340 0.132
Cd1 Cd 0.000 0.000 0.250
Co1 Co 0.138 0.362 0.500
# DFT formation energy ... -0.228 eV/atom
# Spin magnetization ... 0.00 μB/f.u.
# VASP energy ... -4.980 eV/atom